No. 1
The following is a DFT calculation (PBE) of crystalline Ba2NaPr at its relaxed geometry.

a b c (Å): 6.7009 6.7009 4.2448
angles (deg): 90.00 90.00 90.00
Space group P4/mmm (No. 123)
Inequivalent atoms, fractional coordinates:
Ba 0.0000 0.5000 0.0000 x2
Na 0.0000 0.0000 0.5000 x1
Pr 0.5000 0.5000 0.5000 x1

Computed properties:
Calculated volume ... 191 Å³/f.u.
Energy above the lowest structure with this stoichiometry ... 13.2 kJ/mol of formula units
Energy relative to the elements ... 0.64 eV/f.u.

---

No. 2
The following is a DFT calculation (PBE) of crystalline InNi2IrN at its relaxed geometry.

a b c (Å): 3.9185 3.9185 4.1383
angles (deg): 90.00 90.00 90.00
Space group P4/mmm (No. 123)
Inequivalent atoms, fractional coordinates:
In 0.0000 0.0000 0.0000 x1
Ni 0.0000 0.5000 0.5000 x2
Ir 0.5000 0.5000 0.0000 x1
N 0.5000 0.5000 0.5000 x1

Computed properties:
Calculated volume ... 64 Å³/f.u.
VASP energy ... -6.174 eV per atom

---

No. 3
The following is a DFT calculation (PBE) of crystalline Ac3La3Pm8 at its relaxed geometry.

a b c (Å): 5.8975 11.3868 15.7949
angles (deg): 90.00 90.00 90.00
Space group Immm (No. 71)
Inequivalent atoms, fractional coordinates:
Ac 0.0000 0.0000 0.0000 x2
Ac 0.0000 0.3119 0.0000 x4
La 0.0000 0.0000 0.5000 x2
La 0.0000 0.5000 0.1925 x4
Pm 0.0000 0.1617 0.2229 x8
Pm 0.0000 0.3380 0.3972 x8

Computed properties:
Calculated volume ... 530 Å³/f.u.
Energy relative to the elements ... 1.54 eV/f.u.